Record 1
First-principles (GGA-PBE) data for a relaxed structure of La2TbPrTh, as listed in Alexandria via LeMat-Bulk.

Its spin magnetization is 0.00 μB per atom. The theoretical density is 7.5 Mg/m³. The calculation puts the energy relative to the elements at 0.21 eV/atom.

The space group is P2/c (No. 13) and the conventional cell measures 6.465, 8.535 and 6.637 Å, with angles of 90.00, 102.30 and 90.00 degrees. The distinct sites, in fractional coordinates, are La at (0.218, 0.174, 0.168), Tb at (0.500, 0.161, 0.750), Pr at (0.000, 0.395, 0.750) and Th at (0.500, 0.500, 0.000).

***

Record 2
First-principles (GGA-PBE) data for a relaxed structure of ScReB3, as listed in Alexandria via LeMat-Bulk.

Its spin magnetization is 0.00 μB per atom. The theoretical density is 6.5 Mg/m³. The calculation puts the energy relative to the elements at 0.31 eV/atom.

The space group is Pm-3m (No. 221) and the conventional cell measures 4.074, 4.074 and 4.074 Å, with angles of 90.00, 90.00 and 90.00 degrees. The distinct sites, in fractional coordinates, are Sc at (0.000, 0.000, 0.000), Re at (0.500, 0.500, 0.500) and B at (0.000, 0.500, 0.500).

***

Record 3
First-principles (GGA-PBE) data for a relaxed structure of Sm2AgSb, as listed in Alexandria via LeMat-Bulk.

Its spin magnetization is 0.00 μB per atom. Its formation energy from raw total energies is -0.6588 eV/atom. The theoretical density is 7.9 Mg/m³.

The space group is P2_1/m (No. 11) and the conventional cell measures 6.280, 4.460 and 8.523 Å, with angles of 90.00, 110.98 and 90.00 degrees. The distinct sites, in fractional coordinates, are Sm at (0.211, 0.250, 0.436), Sm at (0.215, 0.250, 0.917), Ag at (0.339, 0.750, 0.707) and Sb at (0.326, 0.750, 0.205).

***

Record 4
First-principles (GGA-PBE) data for a relaxed structure of KHg14Au, as listed in Alexandria via LeMat-Bulk.

Its spin magnetization is 0.00 μB per atom. The theoretical density is 11.1 Mg/m³. The calculation puts the energy relative to the elements at -0.05 eV/atom.

The space group is Amm2 (No. 38) and the conventional cell measures 9.941, 6.486 and 14.112 Å, with angles of 90.00, 90.00 and 90.00 degrees. The distinct sites, in fractional coordinates, are K at (0.000, 0.000, 0.000), Hg at (0.000, 0.245, 0.741), Hg at (0.185, 0.000, 0.588), Hg at (0.261, 0.000, 0.154), Hg at (0.266, 0.248, 0.385), Hg at (0.500, 0.000, 0.002), Hg at (0.500, 0.000, 0.528), Hg at (0.500, 0.235, 0.737) and Au at (0.000, 0.000, 0.419).